A geometry-optimized CrHF3 structure. Source: Alexandria, functional GGA+U.

Geometry as POSCAR:
```
CrHF3
1.0
-0.3513 3.4255 -0.4910
-2.3235 0.1323 2.5850
2.5645 0.5891 2.2748
Cr H F
1 1 3
Cartesian
-0.0551 2.0734 2.1844 Cr
0.0000 0.0000 0.0000 H
-1.1617 0.0661 1.2925 F
1.2822 0.2945 1.1374 F
-0.1756 1.7127 -0.2455 F
```

Properties
**Energy above the most stable polymorph in this dataset**: 449.1 kJ/mol of formula units
**Density**: 4.34 g/cm³


A geometry-optimized CrH3F structure. Source: Alexandria, functional GGA+U.

Geometry as POSCAR:
```
CrH3F
1.0
3.4725 0.0000 0.0000
0.0000 3.4725 0.0000
0.0000 0.0000 3.4725
Cr H F
1 3 1
Cartesian
1.7362 1.7362 1.7362 Cr
0.0000 0.0000 1.7362 H
0.0000 1.7362 0.0000 H
1.7362 0.0000 0.0000 H
0.0000 0.0000 0.0000 F
```

Properties
**Energy above the most stable polymorph in this dataset**: 232.7 kJ/mol of formula units
**Density**: 2.94 g/cm³